Computed, not measured: an optimized crystal structure of SrSiTe at the PBE level of DFT.

```
SrSiTe
1.0
-1.300 -5.189 -2.369
4.059 -2.292 -3.536
-0.079 2.310 5.373
Te Si Sr
1 1 1
Direct
0.701 0.701 0.000 Te
0.961 0.961 0.000 Si
0.339 0.339 0.000 Sr
```

## Properties
* uncorrected formation energy: -326.2 meV/atom
* raw total energy: -11.225 eV for the cell shown

---

Computed, not measured: an optimized crystal structure of NiHgBr at the PBE level of DFT.

```
NiHgBr
1.0
7.218 -0.066 0.041
5.745 3.362 -0.025
1.473 -1.583 3.042
Ni Hg Br
1 1 1
Direct
0.343 0.343 0.657 Ni
0.690 0.690 0.310 Hg
0.967 0.967 0.033 Br
```

## Properties
* uncorrected formation energy: 197.4 meV/atom
* raw total energy: -7.164 eV for the cell shown

---

What did the first record say?
Computed, not measured: an optimized crystal structure of SrSiTe at the PBE level of DFT.

```
SrSiTe
1.0
-1.300 -5.189 -2.369
4.059 -2.292 -3.536
-0.079 2.310 5.373
Te Si Sr
1 1 1
Direct
0.701 0.701 0.000 Te
0.961 0.961 0.000 Si
0.339 0.339 0.000 Sr
```

## Properties
* uncorrected formation energy: -326.2 meV/atom
* raw total energy: -11.225 eV for the cell shown